Record 1
! PBE-GGA ZnHg3Os, relaxed; values from VASP
! E_form	1.372	eV/atom
! energy	-6.55	eV per cell
&SYSTEM
  ibrav = 0, nat = 5, ntyp = 3
/
ATOMIC_SPECIES
Zn 65.41 Zn.upf
Hg 200.59 Hg.upf
Os 190.23 Os.upf
CELL_PARAMETERS angstrom
5.022 0.000 0.000
0.000 5.022 0.000
0.000 0.000 5.022
ATOMIC_POSITIONS crystal
Zn 0.000 0.000 0.000
Hg 0.000 0.000 0.500
Hg 0.000 0.500 0.000
Hg 0.500 0.000 0.000
Os 0.500 0.500 0.500

=====

Record 2
! PBE-GGA SmEu2I, relaxed; values from VASP
! uncorrected formation energy	-1.8	eV/f.u.
! energy	-28.65	eV per cell
&SYSTEM
  ibrav = 0, nat = 4, ntyp = 3
/
ATOMIC_SPECIES
Sm 150.36 Sm.upf
Eu 151.96 Eu.upf
I 126.90 I.upf
CELL_PARAMETERS angstrom
3.821 0.000 0.000
0.000 3.821 0.000
0.000 0.000 10.226
ATOMIC_POSITIONS crystal
Sm 0.000 0.000 0.000
Eu 0.500 0.500 0.270
Eu 0.500 0.500 0.730
I 0.000 0.000 0.500

=====

Record 3
! PBE-GGA YPu2Al, relaxed; values from VASP
! E_form	-0.074	eV/atom
! energy	-39.17	eV per cell
&SYSTEM
  ibrav = 0, nat = 4, ntyp = 3
/
ATOMIC_SPECIES
Y 88.91 Y.upf
Pu 244.00 Pu.upf
Al 26.98 Al.upf
CELL_PARAMETERS angstrom
4.453 0.000 0.000
0.000 4.453 0.000
0.000 0.000 5.028
ATOMIC_POSITIONS crystal
Y 0.000 0.000 0.000
Pu 0.000 0.500 0.500
Pu 0.500 0.000 0.500
Al 0.500 0.500 0.000

=====

Record 4
! PBE-GGA LaCr2Re, relaxed; values from VASP
! E_form	0.599	eV/atom
! energy	-34.22	eV per cell
&SYSTEM
  ibrav = 0, nat = 4, ntyp = 3
/
ATOMIC_SPECIES
La 138.91 La.upf
Cr 52.00 Cr.upf
Re 186.21 Re.upf
CELL_PARAMETERS angstrom
1.545 -2.344 0.000
1.545 2.344 0.000
0.000 0.000 9.085
ATOMIC_POSITIONS crystal
La 0.000 0.000 0.000
Cr 0.000 0.000 0.520
Cr 0.500 0.500 0.707
Re 0.500 0.500 0.300

=====

Record 5
! PBE-GGA ZrHgB2Rh, relaxed; values from VASP
! E_form	1.472	eV/atom
! energy	-22.19	eV per cell
&SYSTEM
  ibrav = 0, nat = 5, ntyp = 4
/
ATOMIC_SPECIES
Zr 91.22 Zr.upf
Hg 200.59 Hg.upf
B 10.81 B.upf
Rh 102.91 Rh.upf
CELL_PARAMETERS angstrom
4.460 0.000 0.000
0.000 4.460 0.000
0.000 0.000 4.964
ATOMIC_POSITIONS crystal
Zr 0.000 0.000 0.000
Hg 0.500 0.500 0.500
B 0.000 0.500 0.000
B 0.500 0.000 0.000
Rh 0.000 0.000 0.500

=====

Record 6
! PBE-GGA CsAuI2O, relaxed; values from VASP
! uncorrected formation energy	2.9	eV/f.u.
! energy	-9.29	eV per cell
&SYSTEM
  ibrav = 0, nat = 5, ntyp = 4
/
ATOMIC_SPECIES
Cs 132.91 Cs.upf
Au 196.97 Au.upf
I 126.90 I.upf
O 16.00 O.upf
CELL_PARAMETERS angstrom
7.102 0.000 0.000
0.000 7.102 0.000
0.000 0.000 4.351
ATOMIC_POSITIONS crystal
Cs 0.000 0.000 0.000
Au 0.500 0.500 0.500
I 0.000 0.500 0.000
I 0.500 0.000 0.000
O 0.000 0.000 0.500

=====

Record 7
! PBE-GGA UInPb, relaxed; values from VASP
! E_form	0.142	eV/atom
! energy	-34.62	eV per cell
&SYSTEM
  ibrav = 0, nat = 6, ntyp = 3
/
ATOMIC_SPECIES
U 238.03 U.upf
In 114.82 In.upf
Pb 207.20 Pb.upf
CELL_PARAMETERS angstrom
5.484 0.000 0.000
0.000 3.698 0.000
-2.695 0.000 7.748
ATOMIC_POSITIONS crystal
U 0.053 0.250 0.108
U 0.947 0.750 0.892
In 0.233 0.750 0.469
In 0.767 0.250 0.531
Pb 0.414 0.250 0.826
Pb 0.586 0.750 0.174

=====

Record 8
! PBE-GGA Tb6Pr3Dy2, relaxed; values from VASP
! E_form	0.156	eV/atom
! energy	-49.61	eV per cell
&SYSTEM
  ibrav = 0, nat = 11, ntyp = 3
/
ATOMIC_SPECIES
Tb 158.93 Tb.upf
Pr 140.91 Pr.upf
Dy 162.50 Dy.upf
CELL_PARAMETERS angstrom
2.885 -6.092 0.000
2.885 6.092 0.000
-0.007 0.000 10.516
ATOMIC_POSITIONS crystal
Tb 0.001 0.001 0.287
Tb 0.349 0.649 0.805
Tb 0.351 0.651 0.195
Tb 0.649 0.349 0.805
Tb 0.651 0.351 0.195
Tb 0.999 0.999 0.713
Pr 0.205 0.795 0.500
Pr 0.500 0.500 0.500
Pr 0.795 0.205 0.500
Dy 0.132 0.868 0.000
Dy 0.868 0.132 0.000

=====

Record 9
! PBE-GGA Ba2PrYSe4, relaxed; values from VASP
! uncorrected formation energy	-15.2	eV/f.u.
! energy	-44.22	eV per cell
&SYSTEM
  ibrav = 0, nat = 8, ntyp = 4
/
ATOMIC_SPECIES
Ba 137.33 Ba.upf
Pr 140.91 Pr.upf
Y 88.91 Y.upf
Se 78.96 Se.upf
CELL_PARAMETERS angstrom
7.550 0.000 0.000
0.000 4.362 0.000
-2.517 0.000 7.414
ATOMIC_POSITIONS crystal
Ba 0.000 0.000 0.000
Ba 0.500 0.500 0.000
Pr 0.000 0.500 0.500
Y 0.500 0.000 0.500
Se 0.248 0.000 0.721
Se 0.269 0.500 0.284
Se 0.731 0.500 0.716
Se 0.752 0.000 0.279

=====

Record 10
! PBE-GGA Pa2ZnCo9, relaxed; values from VASP
! E_form	-0.109	eV/atom
! energy	-85.53	eV per cell
&SYSTEM
  ibrav = 0, nat = 12, ntyp = 3
/
ATOMIC_SPECIES
Pa 231.04 Pa.upf
Zn 65.41 Zn.upf
Co 58.93 Co.upf
CELL_PARAMETERS angstrom
2.399 1.385 8.170
-2.399 1.385 8.170
0.000 -2.770 8.170
ATOMIC_POSITIONS crystal
Pa 0.133 0.133 0.133
Pa 0.867 0.867 0.867
Zn 0.000 0.000 0.000
Co 0.081 0.581 0.581
Co 0.333 0.333 0.333
Co 0.419 0.419 0.919
Co 0.419 0.919 0.419
Co 0.500 0.500 0.500
Co 0.581 0.081 0.581
Co 0.581 0.581 0.081
Co 0.667 0.667 0.667
Co 0.919 0.419 0.419

=====

Record 11
! PBE-GGA NbCo2P, relaxed; values from VASP
! E_form	-0.070	eV/atom
! energy	-59.94	eV per cell
&SYSTEM
  ibrav = 0, nat = 8, ntyp = 3
/
ATOMIC_SPECIES
Nb 92.91 Nb.upf
Co 58.93 Co.upf
P 30.97 P.upf
CELL_PARAMETERS angstrom
-1.871 1.871 7.837
1.871 -1.871 7.837
1.871 1.871 -7.837
ATOMIC_POSITIONS crystal
Nb 0.000 0.000 0.000
Nb 0.750 0.250 0.500
Co 0.168 0.625 0.043
Co 0.375 0.418 0.543
Co 0.582 0.125 0.957
Co 0.875 0.832 0.457
P 0.250 0.750 0.500
P 0.500 0.500 0.000

=====

Record 12
! PBE-GGA KC2F, relaxed; values from VASP
! uncorrected formation energy	1.5	eV/f.u.
! energy	-39.83	eV per cell
&SYSTEM
  ibrav = 0, nat = 8, ntyp = 3
/
ATOMIC_SPECIES
K 39.10 K.upf
C 12.01 C.upf
F 19.00 F.upf
CELL_PARAMETERS angstrom
-1.505 1.505 14.669
1.505 -1.505 14.669
1.505 1.505 -14.669
ATOMIC_POSITIONS crystal
K 0.375 0.625 0.750
K 0.625 0.375 0.250
C 0.000 0.000 0.000
C 0.000 0.000 0.500
C 0.000 0.500 0.000
C 0.500 0.000 0.500
F 0.125 0.875 0.250
F 0.875 0.125 0.750